1.
# CaScInSn

Crystalline CaScInSn at its relaxed geometry (GGA-PBE, the Alexandria database).

```
CaScInSn
1.0
0.000 3.705 3.705
3.705 0.000 3.705
3.705 3.705 0.000
Ca Sc In Sn
1 1 1 1
Direct
0.000 0.000 0.000
0.500 0.500 0.500
0.750 0.750 0.750
0.250 0.250 0.250
```

Computed properties:
ΔE_f = -1.7 eV/f.u.
Energy = -4.199 eV per atom


2.
# CaTbScIn

Crystalline CaTbScIn at its relaxed geometry (GGA-PBE, the Alexandria database).

```
CaTbScIn
1.0
0.000 3.797 3.797
3.797 0.000 3.797
3.797 3.797 0.000
Ca Tb Sc In
1 1 1 1
Direct
0.000 0.000 0.000
0.250 0.250 0.250
0.750 0.750 0.750
0.500 0.500 0.500
```

Computed properties:
ΔE_f = -0.4 eV/f.u.
Energy = -4.034 eV per atom


3.
# CaTmScIn

Crystalline CaTmScIn at its relaxed geometry (GGA-PBE, the Alexandria database).

```
CaTmScIn
1.0
0.000 3.774 3.774
3.774 0.000 3.774
3.774 3.774 0.000
Ca Tm Sc In
1 1 1 1
Direct
0.000 0.000 0.000
0.750 0.750 0.750
0.250 0.250 0.250
0.500 0.500 0.500
```

Computed properties:
ΔE_f = -0.3 eV/f.u.
Energy = -3.969 eV per atom


4.
# CaYScIn

Crystalline CaYScIn at its relaxed geometry (GGA-PBE, the Alexandria database).

```
CaYScIn
1.0
0.000 3.797 3.797
3.797 0.000 3.797
3.797 3.797 0.000
Ca Y Sc In
1 1 1 1
Direct
0.000 0.000 0.000
0.250 0.250 0.250
0.750 0.750 0.750
0.500 0.500 0.500
```

Computed properties:
ΔE_f = -0.5 eV/f.u.
Energy = -4.500 eV per atom


5.
# CaScZnIn

Crystalline CaScZnIn at its relaxed geometry (GGA-PBE, the Alexandria database).

```
CaScZnIn
1.0
0.000 3.609 3.609
3.609 0.000 3.609
3.609 3.609 0.000
Ca Sc Zn In
1 1 1 1
Direct
0.000 0.000 0.000
0.500 0.500 0.500
0.750 0.750 0.750
0.250 0.250 0.250
```

Computed properties:
ΔE_f = -1.3 eV/f.u.
Energy = -3.409 eV per atom


6.
# CaZrScIn2

Crystalline CaZrScIn2 at its relaxed geometry (GGA-PBE, the Alexandria database).

```
CaZrScIn2
1.0
5.551 0.000 0.000
0.000 5.551 0.000
0.000 0.000 4.931
Ca Zr Sc In
1 1 1 2
Direct
0.000 0.000 0.000
0.500 0.500 0.000
0.500 0.500 0.500
0.000 0.500 0.500
0.500 0.000 0.500
```

Computed properties:
ΔE_f = 1.9 eV/f.u.
Energy = -4.085 eV per atom


Q: What is the energy in the second record?
A: -4.034 eV per atom


Q: The lowest energy belongs to which entry?
A: CaYScIn


Q: Among the records above, which one has the lowest energy?
A: CaYScIn


Please write out number 1 again, unchanged.
# CaScInSn

Crystalline CaScInSn at its relaxed geometry (GGA-PBE, the Alexandria database).

```
CaScInSn
1.0
0.000 3.705 3.705
3.705 0.000 3.705
3.705 3.705 0.000
Ca Sc In Sn
1 1 1 1
Direct
0.000 0.000 0.000
0.500 0.500 0.500
0.750 0.750 0.750
0.250 0.250 0.250
```

Computed properties:
ΔE_f = -1.7 eV/f.u.
Energy = -4.199 eV per atom